No. 1
# Dy4GaSe2Br

A geometry-optimized Dy4GaSe2Br structure (GGA-PBE, Alexandria).

For the formation energy without anion corrections, the calculation gives -1.296 eV/atom. Its symmetry is P2/m (10). As for the volume: 24.98 Å³ per atom. The uncorrected energy comes out at -5.056 eV/atom. The density is 7958 kg/m3.

Cell lengths 4.056, 7.158, 7.263 Å; angles 71.39, 90.00, 90.00 degrees
Element x y z (fractional)
1 Dy 0.000 0.762 0.722
2 Dy 0.000 0.238 0.278
3 Dy 0.500 0.748 0.265
4 Dy 0.500 0.252 0.735
5 Ga 0.000 0.500 0.500
6 Se 0.000 0.000 0.000
7 Se 0.500 0.000 0.500
8 Br 0.500 0.500 0.000



No. 2
# DyTlGa2Br6

A geometry-optimized DyTlGa2Br6 structure (GGA-PBE, Alexandria).

For the formation energy without anion corrections, the calculation gives -1.141 eV/atom. Its symmetry is P1 (1). As for the volume: 37.16 Å³ per atom. The uncorrected energy comes out at -3.446 eV/atom. The density is 4405 kg/m3.

Cell lengths 7.832, 7.833, 8.340 Å; angles 61.94, 61.92, 59.89 degrees
Element x y z (fractional)
1 Dy 0.325 0.325 0.025
2 Tl 0.814 0.815 0.557
3 Ga 0.516 0.516 0.452
4 Ga 0.008 0.008 0.975
5 Br 0.568 0.234 0.235
6 Br 0.234 0.962 0.236
7 Br 0.962 0.569 0.235
8 Br 0.392 0.701 0.766
9 Br 0.702 0.139 0.767
10 Br 0.140 0.392 0.767



No. 3
# GdDy2Br

A geometry-optimized GdDy2Br structure (GGA-PBE, Alexandria).

For the formation energy without anion corrections, the calculation gives -0.515 eV/atom. Its symmetry is R-3m (166). As for the volume: 29.38 Å³ per atom. The uncorrected energy comes out at -6.754 eV/atom. The density is 7944 kg/m3.

Cell lengths 3.643, 3.643, 10.438 Å; angles 79.95, 79.95, 60.00 degrees
Element x y z (fractional)
1 Gd 0.500 0.500 0.500
2 Br 0.000 0.000 0.000
3 Dy 0.742 0.742 0.773
4 Dy 0.258 0.258 0.227



No. 4
# Dy3GeBr3

A geometry-optimized Dy3GeBr3 structure (GGA-PBE, Alexandria).

For the formation energy without anion corrections, the calculation gives -1.386 eV/atom. Its symmetry is I4_132 (214). As for the volume: 28.14 Å³ per atom. The uncorrected energy comes out at -4.735 eV/atom. The density is 6742 kg/m3.

Cell lengths 10.078, 10.078, 10.078 Å; angles 109.47, 109.47, 109.47 degrees
Element x y z (fractional)
1 Dy 0.977 0.489 0.239
2 Dy 0.511 0.023 0.261
3 Dy 0.250 0.011 0.489
4 Dy 0.989 0.750 0.011
5 Dy 0.989 0.239 0.477
6 Dy 0.761 0.011 0.023
7 Dy 0.739 0.477 0.489
8 Dy 0.761 0.750 0.239
9 Dy 0.523 0.261 0.011
10 Dy 0.250 0.239 0.261
11 Dy 0.739 0.261 0.750
12 Dy 0.511 0.489 0.750
13 Ge 0.750 0.500 0.000
14 Ge 0.500 0.250 0.500
15 Ge 0.750 0.250 0.250
16 Ge 0.000 0.000 0.250
17 Br 0.245 0.995 0.991
18 Br 0.750 0.755 0.745
19 Br 0.491 0.745 0.995
20 Br 0.005 0.250 0.995
21 Br 0.255 0.745 0.250
22 Br 0.495 0.505 0.250
23 Br 0.245 0.250 0.755
24 Br 0.255 0.509 0.505
25 Br 0.750 0.995 0.505
26 Br 0.009 0.505 0.755
27 Br 0.005 0.755 0.509
28 Br 0.495 0.991 0.745